1.
A plane-wave DFT calculation with PBE was carried out for an optimized crystal structure of Ni3SbRu.

Cell lengths 4.503, 4.503, 4.503 Å; angles 90.00, 90.00, 90.00 degrees
Atoms (fractional coordinates):
Ni 0.000 0.000 0.500
Ni 0.000 0.500 0.000
Ni 0.500 0.000 0.000
Sb 0.500 0.500 0.500
Ru 0.000 0.000 0.000

Volume   91.3 Å³/cell
Total DFT energy (no corrections)   -5.0621 eV/atom
M_tot   1.8 μB per formula unit
ΔE_f (raw)   1.09 eV/atom
Energy above the most stable polymorph in this dataset   0.0 kJ per mole of atoms

=====

2.
A plane-wave DFT calculation with PBE was carried out for an optimized crystal structure of CeSbPt.

Cell lengths 3.937, 3.937, 9.318 Å; angles 90.00, 90.00, 90.00 degrees
Atoms (fractional coordinates):
Ce 0.000 0.000 0.000
Ce 0.500 0.500 0.500
Sb 0.000 0.000 0.670
Sb 0.500 0.500 0.170
Pt 0.000 0.000 0.359
Pt 0.500 0.500 0.859

Volume   144.5 Å³/cell
Total DFT energy (no corrections)   -6.0458 eV/atom
M_tot   0.5 μB per formula unit
ΔE_f (raw)   -0.68 eV/atom